This record from Alexandria describes a relaxed B3PdRu crystal. The functional is PBE-GGA.

Lattice parameters (Å, degrees): 3.982 3.982 3.982 90.00 90.00 90.00
Space group Pm-3m (No. 221)
Unique sites:
B 0.000 0.000 0.500
Pd 0.000 0.000 0.000
Ru 0.500 0.500 0.500

Calculated values
Its formation energy from the elements is 163.3 kJ/mol of atoms. For the calculated volume, the calculation gives 63 Å³/cell. The size of the total moment is 1.1 Bohr magnetons per cell. The uncorrected energy is -5.208 eV/atom.

---

This record from Alexandria describes a relaxed SmYAl4 crystal. The functional is PBE-GGA.

Lattice parameters (Å, degrees): 7.928 7.928 7.928 90.00 90.00 90.00
Space group F-43m (No. 216)
Unique sites:
Sm 0.000 0.000 0.000
Y 0.250 0.250 0.250
Al 0.125 0.125 0.625

Calculated values
Its formation energy from the elements is -50.0 kJ/mol of atoms. For the calculated volume, the calculation gives 498 Å³/cell. The size of the total moment is 0.0 Bohr magnetons per cell. The uncorrected energy is -4.877 eV/atom.

---

This record from Alexandria describes a relaxed Nd7Rh3 crystal. The functional is PBE-GGA.

Lattice parameters (Å, degrees): 10.1118 10.1118 6.3934 90.00 90.00 120.00
Space group P6_3mc (No. 186)
Unique sites:
Nd 0.0797 0.5398 0.0000
Nd 0.1246 0.2492 0.3049
Nd 0.3333 0.6667 0.5228
Rh 0.1890 0.3781 0.7484

Calculated values
Its formation energy from the elements is -48.4 kJ/mol of atoms. For the calculated volume, the calculation gives 566 Å³/cell. The size of the total moment is 0.0 Bohr magnetons per cell. The uncorrected energy is -6.045 eV/atom.

---

This record from Alexandria describes a relaxed AcPr6Y3 crystal. The functional is PBE-GGA.

Lattice parameters (Å, degrees): 11.941 3.695 16.986 90.00 104.05 90.00
Space group P2_1/m (No. 11)
Unique sites:
Ac 0.030 0.250 0.302
Pr 0.040 0.750 0.099
Pr 0.130 0.250 0.563
Pr 0.209 0.750 0.857
Pr 0.264 0.750 0.426
Pr 0.341 0.250 0.251
Pr 0.484 0.250 0.897
Y 0.257 0.250 0.035
Y 0.345 0.750 0.712
Y 0.457 0.250 0.581

Calculated values
Its formation energy from the elements is 10.5 kJ/mol of atoms. For the calculated volume, the calculation gives 727 Å³/cell. The size of the total moment is 0.0 Bohr magnetons per cell. The uncorrected energy is -5.108 eV/atom.

---

This record from Alexandria describes a relaxed Pr8Si3IrBr4 crystal. The functional is PBE-GGA.

Lattice parameters (Å, degrees): 8.594 8.611 8.931 61.18 90.00 60.08
Space group P-1 (No. 2)
Unique sites:
Pr 0.230 0.025 0.206
Pr 0.231 0.537 0.207
Pr 0.258 0.975 0.792
Pr 0.262 0.476 0.786
Si 0.000 0.500 0.000
Si 0.500 0.000 0.000
Si 0.500 0.500 0.000
Ir 0.000 0.000 0.000
Br 0.000 0.000 0.500
Br 0.000 0.500 0.500
Br 0.500 0.000 0.500
Br 0.500 0.500 0.500

Calculated values
For the calculated volume, the calculation gives 476 Å³/cell. The size of the total moment is 0.0 Bohr magnetons per cell. The uncorrected energy is -5.447 eV/atom.

---

This record from Alexandria describes a relaxed LaGeOs crystal. The functional is PBE-GGA.

Lattice parameters (Å, degrees): 11.325 4.552 5.462 90.00 103.17 90.00
Space group C2/m (No. 12)
Unique sites:
La 0.123 0.000 0.318
Ge 0.098 0.500 0.841
Os 0.189 0.000 0.862

Calculated values
Its formation energy from the elements is -39.1 kJ/mol of atoms. For the calculated volume, the calculation gives 274 Å³/cell. The size of the total moment is 0.0 Bohr magnetons per cell. The uncorrected energy is -7.330 eV/atom.

---

This record from Alexandria describes a relaxed AcCu3Rh4O12 crystal. The functional is PBE-GGA.

Lattice parameters (Å, degrees): 7.587 7.587 7.587 90.00 90.00 90.00
Space group Im-3 (No. 204)
Unique sites:
Ac 0.000 0.000 0.000
Cu 0.000 0.000 0.500
Rh 0.250 0.250 0.250
O 0.000 0.311 0.168

Calculated values
For the calculated volume, the calculation gives 437 Å³/cell. The size of the total moment is 0.0 Bohr magnetons per cell. The uncorrected energy is -6.293 eV/atom.

---

This record from Alexandria describes a relaxed SbPbCl2 crystal. The functional is PBE-GGA.

Lattice parameters (Å, degrees): 3.537 4.841 6.123 90.00 91.15 90.00
Space group P2/m (No. 10)
Unique sites:
Sb 0.000 0.000 0.000
Pb 0.500 0.000 0.500
Cl 0.214 0.500 0.761

Calculated values
For the calculated volume, the calculation gives 105 Å³/cell. The size of the total moment is 0.0 Bohr magnetons per cell. The uncorrected energy is -3.295 eV/atom.